1.
Here is an optimized crystal structure of Sc2NbSn2 from Alexandria via LeMat-Bulk. Energies are from PBE.

The structure in extended XYZ format:
```
5
Lattice="3.9950 0.0000 0.0000 0.0000 3.9950 0.0000 1.9975 1.9975 6.9799" Properties=species:S:1:pos:R:3 pbc="T T T"
Sc 1.9975 3.9950 3.4899
Sn 1.9975 1.9975 1.3560
Nb 0.0000 0.0000 0.0000
Sc 3.9950 1.9975 3.4899
Sn 3.9950 3.9950 5.6239
```

Values from the calculation:
Space-group type ... I4/mmm (139)
E above lowest polymorph ... 0.431 eV per atom
ΔE_f ... 0.06 eV per atom

=====

2.
Here is an optimized crystal structure of Sc2Nb2Sn from Alexandria via LeMat-Bulk. Energies are from PBE.

The structure in extended XYZ format:
```
10
Lattice="-4.5884 0.3935 5.6889 3.6054 -5.4570 3.2854 2.4376 2.6825 1.7805" Properties=species:S:1:pos:R:3 pbc="T T T"
Sc 0.3114 0.5478 3.3279
Sc 2.8551 -2.2442 4.0519
Sc 1.1432 -2.9288 7.4269
Sn 0.0000 0.0000 0.0000
Sn -0.4915 -2.5317 4.4871
Sc -1.4005 -0.1367 6.7030
Nb -2.4187 -0.4447 3.9813
Nb 1.4357 -4.6188 4.9930
Nb -1.7477 -3.0761 7.0271
Nb 0.7647 -1.9873 1.9472
```

Values from the calculation:
Space-group type ... P4/mbm (127)
E above lowest polymorph ... 0.000 eV per atom
ΔE_f ... -0.05 eV per atom

=====

3.
Here is an optimized crystal structure of Sc2Nb2Sn from Alexandria via LeMat-Bulk. Energies are from PBE.

The structure in extended XYZ format:
```
5
Lattice="-2.1766 -1.0215 -3.2228 -3.0257 -1.1214 2.3989 -5.1881 5.3154 -0.6891" Properties=species:S:1:pos:R:3 pbc="T T T"
Sc -4.9829 1.6113 -2.1619
Sc -5.4075 1.5613 0.6489
Nb -3.0568 0.0536 -0.4608
Nb -7.3336 3.1190 -1.0523
Sn 0.0000 0.0000 0.0000
```

Values from the calculation:
Space-group type ... I4/mmm (139)
E above lowest polymorph ... 0.571 eV per atom
ΔE_f ... 0.52 eV per atom

=====

DOS at the Fermi energy across the listed records, respectively: 0.66 0.39 1.74 states/eV per atom.